ZrHBr | PBE | optimized geometry

Uncorrected energy = -5.07 eV/atom

a = 3.319 Å, b = 5.191 Å, c = 6.733 Å
α = 90.00°, β = 90.84°, γ = 90.00°
Space group P2_1/m (No. 11)
Asymmetric unit:
Zr (0.247, 0.250, 0.403) x2
H (0.258, 0.750, 0.770) x2
Br (0.243, 0.750, 0.262) x2

***

NaTc2F | PBE | optimized geometry

Formation energy (no corrections) = -137 meV/atom
Relative energy among the computed polymorphs = 0.0 kJ per mole of atoms

a = 3.376 Å, b = 3.376 Å, c = 28.275 Å
α = 90.00°, β = 90.00°, γ = 90.00°
Space group I-42d (No. 122)
Asymmetric unit:
Na (0.000, 0.000, 0.000) x4
Tc (0.249, 0.750, 0.125) x8
F (0.000, 0.000, 0.500) x4